Record 1
Below is crystalline Be2TlPt at its relaxed geometry, with properties calculated at the PBE level.

Geometry as extended XYZ:
```
4
Lattice="3.458 -2.005 0.000 3.458 2.005 0.000 -2.212 0.000 4.955" Properties=species:S:1:pos:R:3 pbc="T T T"
Be 0.000 0.000 0.000
Be 4.618 0.000 0.296
Tl 0.032 0.000 2.513
Pt 2.310 0.000 0.340
```

Crystal system ... monoclinic
D(E_F) ... 0.8 states/eV/f.u.
Formation energy ... -0.132 eV per atom
ΔE to the lowest computed polymorph ... 0.000 eV per atom

=====

Record 2
Below is crystalline TmBePt2 at its relaxed geometry, with properties calculated at the PBE level.

Geometry as extended XYZ:
```
4
Lattice="3.159 0.000 0.000 0.000 3.159 0.000 0.000 0.000 6.441" Properties=species:S:1:pos:R:3 pbc="T T T"
Tm 0.000 0.000 0.000
Be 0.000 0.000 3.221
Pt 1.580 1.580 1.872
Pt 1.580 1.580 4.570
```

Crystal system ... tetragonal
D(E_F) ... 0.9 states/eV/f.u.
Formation energy ... -0.834 eV per atom
ΔE to the lowest computed polymorph ... 0.217 eV per atom

=====

Record 3
Below is crystalline Tm2BePt3 at its relaxed geometry, with properties calculated at the PBE level.

Geometry as extended XYZ:
```
12
Lattice="5.497 0.000 0.000 -2.749 4.761 0.000 0.000 0.000 7.932" Properties=species:S:1:pos:R:3 pbc="T T T"
Tm 0.000 3.174 0.460
Tm 0.000 3.174 3.507
Tm 2.749 1.587 4.426
Tm 2.749 1.587 7.473
Be 0.000 0.000 0.000
Be 0.000 0.000 3.966
Pt 0.000 1.570 5.949
Pt -1.389 3.976 5.949
Pt 1.359 0.785 1.983
Pt 1.389 3.976 5.949
Pt 4.138 0.785 1.983
Pt 2.749 3.191 1.983
```

Crystal system ... hexagonal
D(E_F) ... 2.4 states/eV/f.u.
Formation energy ... -1.080 eV per atom

=====

Record 4
Below is crystalline TmBePt at its relaxed geometry, with properties calculated at the PBE level.

Geometry as extended XYZ:
```
3
Lattice="3.996 0.000 0.000 -1.998 3.461 0.000 0.000 0.000 3.835" Properties=species:S:1:pos:R:3 pbc="T T T"
Tm 0.000 0.000 0.000
Be 0.000 2.307 1.917
Pt 1.998 1.154 1.917
```

Crystal system ... hexagonal
D(E_F) ... 1.4 states/eV/f.u.
Formation energy ... -0.886 eV per atom
ΔE to the lowest computed polymorph ... 0.019 eV per atom

=====

Record 5
Below is crystalline TmBePt2 at its relaxed geometry, with properties calculated at the PBE level.

Geometry as extended XYZ:
```
4
Lattice="2.039 1.177 4.855 -2.039 1.177 4.855 0.000 -2.354 4.855" Properties=species:S:1:pos:R:3 pbc="T T T"
Tm 0.000 0.000 0.000
Be 0.000 0.000 7.282
Pt 0.000 0.000 3.112
Pt 0.000 0.000 11.451
```

Crystal system ... trigonal
D(E_F) ... 1.4 states/eV/f.u.
Formation energy ... -0.908 eV per atom
ΔE to the lowest computed polymorph ... 0.143 eV per atom

=====

Record 6
Below is crystalline TmBePt at its relaxed geometry, with properties calculated at the PBE level.

Geometry as extended XYZ:
```
12
Lattice="6.720 0.000 0.000 0.000 4.033 0.000 0.000 0.000 7.441" Properties=species:S:1:pos:R:3 pbc="T T T"
Tm 0.087 1.008 1.425
Tm 3.273 3.025 5.146
Tm 3.447 1.008 2.296
Tm 6.633 3.025 6.016
Be 1.277 3.025 3.009
Be 2.083 1.008 6.729
Be 4.637 3.025 0.712
Be 5.443 1.008 4.432
Pt 1.183 1.008 4.238
Pt 2.177 3.025 0.518
Pt 4.543 1.008 6.924
Pt 5.537 3.025 3.203
```

Crystal system ... orthorhombic
D(E_F) ... 1.9 states/eV/f.u.
Formation energy ... -0.904 eV per atom
ΔE to the lowest computed polymorph ... 0.000 eV per atom

=====

Record 7
Below is crystalline Tm2BePt at its relaxed geometry, with properties calculated at the PBE level.

Geometry as extended XYZ:
```
4
Lattice="3.442 0.000 0.000 0.000 3.442 0.000 0.000 0.000 6.667" Properties=species:S:1:pos:R:3 pbc="T T T"
Tm 0.000 0.000 1.644
Tm 0.000 0.000 5.023
Be 1.721 1.721 0.000
Pt 1.721 1.721 3.334
```

Crystal system ... tetragonal
D(E_F) ... 1.3 states/eV/f.u.
Formation energy ... -0.639 eV per atom
ΔE to the lowest computed polymorph ... 0.000 eV per atom

=====

Record 8
Below is crystalline TmBePt at its relaxed geometry, with properties calculated at the PBE level.

Geometry as extended XYZ:
```
6
Lattice="4.051 0.000 0.000 -2.025 3.508 0.000 0.000 0.000 7.415" Properties=species:S:1:pos:R:3 pbc="T T T"
Tm 0.000 0.000 0.000
Tm 0.000 0.000 3.708
Be 0.000 2.339 1.854
Be 2.025 1.169 5.561
Pt 0.000 2.339 5.561
Pt 2.025 1.169 1.854
```

Crystal system ... hexagonal
D(E_F) ... 2.1 states/eV/f.u.
Formation energy ... -0.889 eV per atom
ΔE to the lowest computed polymorph ... 0.015 eV per atom

=====

Record 9
Below is crystalline Tm2Be2Pt5 at its relaxed geometry, with properties calculated at the PBE level.

Geometry as extended XYZ:
```
9
Lattice="4.062 0.000 0.000 0.000 4.062 0.000 0.000 0.000 8.749" Properties=species:S:1:pos:R:3 pbc="T T T"
Tm 0.000 0.000 0.000
Tm 0.000 0.000 4.375
Be 2.031 2.031 1.191
Be 2.031 2.031 7.558
Pt 0.000 2.031 2.233
Pt 0.000 2.031 6.516
Pt 2.031 0.000 2.233
Pt 2.031 0.000 6.516
Pt 2.031 2.031 4.375
```

Crystal system ... tetragonal
D(E_F) ... 2.6 states/eV/f.u.
Formation energy ... -1.013 eV per atom

=====

Record 10
Below is crystalline Tm3Be2Pt5 at its relaxed geometry, with properties calculated at the PBE level.

Geometry as extended XYZ:
```
20
Lattice="9.597 0.000 0.000 0.000 9.597 0.000 0.000 0.000 3.649" Properties=species:S:1:pos:R:3 pbc="T T T"
Tm 0.000 0.000 0.000
Tm 1.696 3.103 0.000
Tm 3.103 7.901 0.000
Tm 4.798 4.798 0.000
Tm 6.494 1.696 0.000
Tm 7.901 6.494 0.000
Be 1.118 5.917 0.000
Be 3.680 1.118 0.000
Be 5.917 8.479 0.000
Be 8.479 3.680 0.000
Pt 0.000 4.798 1.825
Pt 0.682 7.478 1.825
Pt 2.119 0.682 1.825
Pt 2.680 5.481 1.825
Pt 4.116 2.680 1.825
Pt 4.798 0.000 1.825
Pt 5.481 6.917 1.825
Pt 6.917 4.116 1.825
Pt 7.478 8.915 1.825
Pt 8.915 2.119 1.825
```

Crystal system ... tetragonal
D(E_F) ... 4.8 states/eV/f.u.
Formation energy ... -1.122 eV per atom

=====

Record 11
Below is crystalline Tm2BePt at its relaxed geometry, with properties calculated at the PBE level.

Geometry as extended XYZ:
```
4
Lattice="0.000 3.419 3.419 3.419 0.000 3.419 3.419 3.419 0.000" Properties=species:S:1:pos:R:3 pbc="T T T"
Tm 1.710 1.710 1.710
Tm 5.129 5.129 5.129
Be 0.000 0.000 0.000
Pt 3.419 3.419 3.419
```

Crystal system ... cubic
D(E_F) ... 3.0 states/eV/f.u.
Formation energy ... -0.605 eV per atom
ΔE to the lowest computed polymorph ... 0.033 eV per atom

=====

Record 12
Below is crystalline Tm2Be4Pt5 at its relaxed geometry, with properties calculated at the PBE level.

Geometry as extended XYZ:
```
11
Lattice="0.000 4.611 6.774 2.742 0.000 6.774 2.742 4.611 0.000" Properties=species:S:1:pos:R:3 pbc="T T T"
Tm 2.742 4.611 1.753
Tm 2.742 4.611 11.794
Be 2.742 3.144 5.013
Be 2.742 3.144 8.534
Be 2.742 6.078 5.013
Be 2.742 6.078 8.534
Pt 1.371 2.306 0.000
Pt 1.371 2.306 3.387
Pt 1.371 2.306 6.774
Pt 2.742 4.611 6.774
Pt 4.112 6.917 10.160
```

Crystal system ... orthorhombic
D(E_F) ... 3.4 states/eV/f.u.
Formation energy ... -0.908 eV per atom